Record 1
Entry from Alexandria: an optimized crystal structure of Nd2YZr (PBE-GGA).

Results
DFT formation energy in eV/atom: 0.129
Volume in Å³/atom: 30.57
Calculated total energy in eV per atom: -6.008
Excess energy over the best structure of this formula in the dataset in meV/atom: 3.2
SG: P4/mmm, No. 123

Unit cell a=4.9255 b=4.9825 c=4.9825 alpha=90.00 beta=90.00 gamma=90.00
With the nearest neighbours (Å) after each atom.
Positions (direct):
Nd  0.0000  0.0000  0.5000  4 Zr 3.50, 4 Y 3.50, 4 Nd 3.52
Nd  0.0000  0.5000  0.0000  4 Zr 3.50, 4 Y 3.50, 4 Nd 3.52
Y  0.5000  0.0000  0.0000  8 Nd 3.50, 4 Zr 3.52
Zr  0.5000  0.5000  0.5000  8 Nd 3.50, 4 Y 3.52

=====

Record 2
Entry from Alexandria: an optimized crystal structure of NdYZr2 (PBE-GGA).

Results
DFT formation energy in eV/atom: 0.176
Volume in Å³/atom: 27.36
Calculated total energy in eV per atom: -6.906
SG: R-3m, No. 166

Unit cell a=3.3785 b=3.3785 c=11.2415 alpha=81.36 beta=81.36 gamma=60.00
With the nearest neighbours (Å) after each atom.
Positions (direct):
Zr  0.7494  0.7494  0.7519  3 Y 3.37, 6 Zr 3.38, 3 Nd 3.40
Zr  0.2506  0.2506  0.2481  3 Y 3.37, 6 Zr 3.38, 3 Nd 3.40
Y  0.0000  0.0000  0.0000  6 Zr 3.37, 6 Y 3.38
Nd  0.5000  0.5000  0.5000  6 Nd 3.38, 6 Zr 3.40